# 1
Crystalline KRbBa2Zn at its relaxed geometry. Source: Alexandria via LeMat-Bulk, functional PBE.

Values from the calculation:
Space group = No. 123
Uncorrected energy = -1.375 eV/atom
Density of states at the Fermi level = 5.37 states/eV/f.u.
Formation energy from the elements = 62 meV/atom
Excess energy over the best structure of this formula in the dataset = 0.000 eV/atom

```
data_KRbBa2Zn
_space_group_name_H-M_alt 'P 1'
_space_group_IT_number 1
_cell_length_a 6.6383
_cell_length_b 6.6383
_cell_length_c 7.0690
_cell_angle_alpha 90.00
_cell_angle_beta 90.00
_cell_angle_gamma 90.00
loop_
_space_group_symop_operation_xyz
'x,y,z'
loop_
_atom_site_label
_atom_site_fract_x
_atom_site_fract_y
_atom_site_fract_z
_atom_site_occupancy
K1 0.0000 0.0000 0.0000 1
Rb1 0.5000 0.5000 0.0000 1
Ba1 0.0000 0.5000 0.5000 1
Ba2 0.5000 0.0000 0.5000 1
Zn1 0.0000 0.0000 0.5000 1
```


# 2
Crystalline Sm5DyY2Th at its relaxed geometry. Source: Alexandria via LeMat-Bulk, functional PBE.

Values from the calculation:
Space group = No. 36
Uncorrected energy = -5.239 eV/atom
Density of states at the Fermi level = 14.07 states/eV/f.u.
Formation energy from the elements = 155 meV/atom

```
data_Sm5DyY2Th
_space_group_name_H-M_alt 'P 1'
_space_group_IT_number 1
_cell_length_a 10.5678
_cell_length_b 10.5678
_cell_length_c 10.5644
_cell_angle_alpha 90.00
_cell_angle_beta 90.00
_cell_angle_gamma 148.94
loop_
_space_group_symop_operation_xyz
'x,y,z'
loop_
_atom_site_label
_atom_site_fract_x
_atom_site_fract_y
_atom_site_fract_z
_atom_site_occupancy
Sm1 0.0162 0.9838 0.5000 1
Sm2 0.2777 0.7223 0.2099 1
Sm3 0.2944 0.7056 0.8174 1
Sm4 0.3904 0.6096 0.4948 1
Sm5 0.4795 0.5205 0.7775 1
Sm6 0.5205 0.4795 0.2775 1
Sm7 0.6096 0.3904 0.9948 1
Sm8 0.7056 0.2944 0.3174 1
Sm9 0.7223 0.2777 0.7099 1
Sm10 0.9838 0.0162 0.0000 1
Dy1 0.4073 0.5927 0.0653 1
Dy2 0.5927 0.4073 0.5653 1
Y1 0.1123 0.8877 0.7856 1
Y2 0.1158 0.8842 0.2045 1
Y3 0.8842 0.1158 0.7045 1
Y4 0.8877 0.1123 0.2856 1
Th1 0.2007 0.7993 0.5097 1
Th2 0.7993 0.2007 0.0097 1
```


Repeat the second record exactly.
Crystalline Sm5DyY2Th at its relaxed geometry. Source: Alexandria via LeMat-Bulk, functional PBE.

Values from the calculation:
Space group = No. 36
Uncorrected energy = -5.239 eV/atom
Density of states at the Fermi level = 14.07 states/eV/f.u.
Formation energy from the elements = 155 meV/atom

```
data_Sm5DyY2Th
_space_group_name_H-M_alt 'P 1'
_space_group_IT_number 1
_cell_length_a 10.5678
_cell_length_b 10.5678
_cell_length_c 10.5644
_cell_angle_alpha 90.00
_cell_angle_beta 90.00
_cell_angle_gamma 148.94
loop_
_space_group_symop_operation_xyz
'x,y,z'
loop_
_atom_site_label
_atom_site_fract_x
_atom_site_fract_y
_atom_site_fract_z
_atom_site_occupancy
Sm1 0.0162 0.9838 0.5000 1
Sm2 0.2777 0.7223 0.2099 1
Sm3 0.2944 0.7056 0.8174 1
Sm4 0.3904 0.6096 0.4948 1
Sm5 0.4795 0.5205 0.7775 1
Sm6 0.5205 0.4795 0.2775 1
Sm7 0.6096 0.3904 0.9948 1
Sm8 0.7056 0.2944 0.3174 1
Sm9 0.7223 0.2777 0.7099 1
Sm10 0.9838 0.0162 0.0000 1
Dy1 0.4073 0.5927 0.0653 1
Dy2 0.5927 0.4073 0.5653 1
Y1 0.1123 0.8877 0.7856 1
Y2 0.1158 0.8842 0.2045 1
Y3 0.8842 0.1158 0.7045 1
Y4 0.8877 0.1123 0.2856 1
Th1 0.2007 0.7993 0.5097 1
Th2 0.7993 0.2007 0.0097 1
```